No. 1
This record from the Alexandria database describes a relaxed ScMn2W crystal. The functional is PBEsol.

extended XYZ file:
```
4
Lattice="-0.065 2.526 -0.832 -3.923 0.474 1.744 2.064 1.454 4.249" Properties=species:S:1:pos:R:3 pbc="T T T"
Mn -1.426 1.900 1.626
W -0.377 2.638 3.783
Mn 2.010 1.415 4.137
Sc 0.966 0.680 1.988
```

Summary:
Formation enthalpy at 0 K (eV/atom): 0.429
Crystal system: orthorhombic
Calculated total energy (eV per atom): -9.55

No. 2
This record from the Alexandria database describes a relaxed ScMn2W2 crystal. The functional is PBEsol.

extended XYZ file:
```
5
Lattice="4.016 0.000 0.000 0.000 4.016 0.000 -2.008 -2.008 5.081" Properties=species:S:1:pos:R:3 pbc="T T T"
Mn 2.008 0.000 2.540
Sc 0.000 0.000 0.000
W 0.000 0.000 3.789
W 2.008 2.008 1.292
Mn 0.000 2.008 2.540
```

Summary:
Formation enthalpy at 0 K (eV/atom): 0.503
Crystal system: tetragonal
Calculated total energy (eV per atom): -10.25

No. 3
This record from the Alexandria database describes a relaxed ScMnW3 crystal. The functional is PBEsol.

extended XYZ file:
```
5
Lattice="4.479 0.000 0.000 0.000 4.479 0.000 0.000 0.000 4.479" Properties=species:S:1:pos:R:3 pbc="T T T"
W 0.000 2.239 0.000
Sc 2.239 2.239 2.239
W 2.239 0.000 0.000
W 0.000 0.000 2.239
Mn 0.000 0.000 0.000
```

Summary:
Formation enthalpy at 0 K (eV/atom): 1.080
Crystal system: cubic
Calculated total energy (eV per atom): -10.48

No. 4
This record from the Alexandria database describes a relaxed Sc2MnZn crystal. The functional is PBEsol.

extended XYZ file:
```
4
Lattice="-2.559 1.590 -0.664 -1.394 -1.213 2.470 2.468 5.726 4.205" Properties=species:S:1:pos:R:3 pbc="T T T"
Zn 1.332 3.089 2.269
Mn -0.200 4.311 3.930
Sc 2.339 5.426 3.984
Sc -1.253 1.867 2.135
```

Summary:
Formation enthalpy at 0 K (eV/atom): 0.007
Crystal system: tetragonal
Calculated total energy (eV per atom): -6.13

No. 5
This record from the Alexandria database describes a relaxed Sc2MnZn crystal. The functional is PBEsol.

extended XYZ file:
```
4
Lattice="-0.862 1.874 2.362 -2.712 -3.317 1.641 5.506 -0.980 0.705" Properties=species:S:1:pos:R:3 pbc="T T T"
Mn 0.310 -2.421 2.034
Zn -1.609 -0.803 2.131
Sc 1.784 -2.355 4.602
Sc 1.590 0.012 2.653
```

Summary:
Formation enthalpy at 0 K (eV/atom): -0.019
Crystal system: orthorhombic
Calculated total energy (eV per atom): -6.16

No. 6
This record from the Alexandria database describes a relaxed ScMn2Zn crystal. The functional is PBEsol.

extended XYZ file:
```
4
Lattice="2.853 0.000 0.000 1.426 2.470 0.000 1.426 0.823 8.542" Properties=species:S:1:pos:R:3 pbc="T T T"
Mn 1.426 0.823 2.052
Zn 0.000 0.000 0.000
Sc 2.853 1.647 4.271
Mn 4.279 2.470 6.491
```

Summary:
Formation enthalpy at 0 K (eV/atom): 0.368
Crystal system: trigonal
Calculated total energy (eV per atom): -6.56

No. 7
This record from the Alexandria database describes a relaxed Sc2MnZn crystal. The functional is PBEsol.

extended XYZ file:
```
4
Lattice="-2.697 1.407 0.863 -1.313 -2.830 0.512 2.141 0.168 6.420" Properties=species:S:1:pos:R:3 pbc="T T T"
Sc 1.567 0.123 4.698
Sc 0.574 0.045 1.722
Mn -0.934 -0.627 3.897
Zn -2.005 -0.711 0.687
```

Summary:
Formation enthalpy at 0 K (eV/atom): -0.115
Crystal system: tetragonal
Calculated total energy (eV per atom): -6.25

No. 8
This record from the Alexandria database describes a relaxed ScMnZn3 crystal. The functional is PBEsol.

extended XYZ file:
```
5
Lattice="-3.803 -3.054 0.876 2.897 -2.771 2.912 -1.305 2.747 3.912" Properties=species:S:1:pos:R:3 pbc="T T T"
Mn -1.105 -1.539 3.850
Zn -0.652 1.374 1.956
Zn -1.901 -1.527 0.438
Sc 0.000 0.000 0.000
Zn 1.449 -1.386 1.456
```

Summary:
Formation enthalpy at 0 K (eV/atom): 1.261
Crystal system: cubic
Calculated total energy (eV per atom): -2.96

No. 9
This record from the Alexandria database describes a relaxed ScMnZn2 crystal. The functional is PBEsol.

extended XYZ file:
```
4
Lattice="-3.130 -2.378 -0.399 2.397 -2.996 -0.942 0.626 1.718 4.415" Properties=species:S:1:pos:R:3 pbc="T T T"
Sc 1.328 -1.983 1.401
Mn -0.367 -2.687 -0.670
Zn -1.435 -1.674 1.673
Zn 0.000 0.000 0.000
```

Summary:
Formation enthalpy at 0 K (eV/atom): 0.008
Crystal system: tetragonal
Calculated total energy (eV per atom): -4.87

No. 10
This record from the Alexandria database describes a relaxed ScMn2Zn crystal. The functional is PBEsol.

extended XYZ file:
```
4
Lattice="3.775 0.000 0.000 0.000 3.775 0.000 -1.887 -1.887 4.033" Properties=species:S:1:pos:R:3 pbc="T T T"
Zn 1.887 0.000 2.016
Mn 0.000 1.887 2.016
Mn 0.000 0.000 0.000
Sc 1.887 1.887 0.000
```

Summary:
Formation enthalpy at 0 K (eV/atom): 0.118
Crystal system: tetragonal
Calculated total energy (eV per atom): -6.81

No. 11
This record from the Alexandria database describes a relaxed ScMnZn2 crystal. The functional is PBEsol.

extended XYZ file:
```
4
Lattice="-1.663 -1.310 1.969 3.346 0.641 3.254 -2.974 3.653 -0.082" Properties=species:S:1:pos:R:3 pbc="T T T"
Zn -1.487 1.826 -0.041
Mn -0.832 -0.655 0.984
Zn 1.673 0.321 1.627
Sc -0.645 1.492 2.570
```

Summary:
Formation enthalpy at 0 K (eV/atom): 0.014
Crystal system: orthorhombic
Calculated total energy (eV per atom): -4.87

No. 12
This record from the Alexandria database describes a relaxed Zr2ScMn crystal. The functional is PBEsol.

extended XYZ file:
```
4
Lattice="-1.028 1.347 -2.778 -1.518 -4.264 -1.507 -3.066 2.263 4.138" Properties=species:S:1:pos:R:3 pbc="T T T"
Sc -3.053 1.100 -0.243
Mn -1.289 -1.339 -2.078
Zr -4.094 3.576 1.344
Zr -2.544 -1.839 0.049
```

Summary:
Formation enthalpy at 0 K (eV/atom): 0.013
Crystal system: monoclinic
Calculated total energy (eV per atom): -8.62
Polymorph energy (0 for the lowest one) (meV/atom): 17

No. 13
This record from the Alexandria database describes a relaxed Zr2ScMn crystal. The functional is PBEsol.

extended XYZ file:
```
4
Lattice="3.181 0.000 0.000 1.590 2.754 0.000 1.590 0.918 8.947" Properties=species:S:1:pos:R:3 pbc="T T T"
Sc 3.181 1.836 4.474
Mn 0.000 0.000 0.000
Zr 1.590 0.918 1.820
Zr 4.771 2.754 7.127
```

Summary:
Formation enthalpy at 0 K (eV/atom): 0.203
Crystal system: trigonal
Calculated total energy (eV per atom): -8.43
Polymorph energy (0 for the lowest one) (meV/atom): 206

No. 14
This record from the Alexandria database describes a relaxed ZrScMn4 crystal. The functional is PBEsol.

extended XYZ file:
```
6
Lattice="4.863 0.000 0.000 2.431 4.211 0.000 2.431 1.404 3.970" Properties=species:S:1:pos:R:3 pbc="T T T"
Mn 3.647 3.509 2.481
Mn 6.078 3.509 2.481
Mn 4.863 2.807 0.496
Sc 2.431 1.404 0.993
Zr 0.000 0.000 0.000
Mn 4.863 1.404 2.481
```

Summary:
Formation enthalpy at 0 K (eV/atom): -0.147
Crystal system: cubic
Calculated total energy (eV per atom): -9.27

No. 15
This record from the Alexandria database describes a relaxed ZrScMn crystal. The functional is PBEsol.

extended XYZ file:
```
3
Lattice="-2.099 2.307 0.092 -2.113 -1.868 -1.335 0.409 -1.968 5.750" Properties=species:S:1:pos:R:3 pbc="T T T"
Sc -1.243 -1.281 3.759
Mn -0.016 -0.016 0.048
Zr -2.543 -0.231 0.701
```

Summary:
Formation enthalpy at 0 K (eV/atom): 0.030
Crystal system: tetragonal
Calculated total energy (eV per atom): -8.46

No. 16
This record from the Alexandria database describes a relaxed Zr2ScMn crystal. The functional is PBEsol.

extended XYZ file:
```
4
Lattice="-0.407 -1.777 4.400 3.904 -1.143 2.477 1.289 2.626 3.758" Properties=species:S:1:pos:R:3 pbc="T T T"
Mn 2.393 -0.147 5.317
Zr 3.589 -0.220 7.976
Sc 1.196 -0.073 2.659
Zr 0.000 0.000 0.000
```

Summary:
Formation enthalpy at 0 K (eV/atom): 0.269
Crystal system: cubic
Calculated total energy (eV per atom): -8.37
Polymorph energy (0 for the lowest one) (meV/atom): 272

No. 17
This record from the Alexandria database describes a relaxed Zr2ScMn crystal. The functional is PBEsol.

extended XYZ file:
```
4
Lattice="3.263 0.000 0.000 0.000 4.944 0.000 -1.631 -2.472 4.704" Properties=species:S:1:pos:R:3 pbc="T T T"
Zr 1.631 2.472 1.919
Sc 1.631 0.000 0.000
Zr 0.000 0.000 2.785
Mn 0.000 2.472 0.000
```

Summary:
Formation enthalpy at 0 K (eV/atom): -0.003
Crystal system: orthorhombic
Calculated total energy (eV per atom): -8.64
Polymorph energy (0 for the lowest one) (meV/atom): 0

No. 18
This record from the Alexandria database describes a relaxed MnSe2 crystal. The functional is PBEsol.

extended XYZ file:
```
3
Lattice="-0.685 2.744 -0.689 -2.538 -0.909 -1.099 -1.019 -0.198 6.374" Properties=species:S:1:pos:R:3 pbc="T T T"
Mn -1.611 0.917 -0.894
Se -3.610 1.464 3.271
Se -0.631 0.173 1.315
```

Summary:
ΔE_f (raw) (eV per atom): -0.11
Crystal system: tetragonal
Calculated total energy (eV per atom): -5.93

No. 19
This record from the Alexandria database describes a relaxed MnSe2 crystal. The functional is PBEsol.

extended XYZ file:
```
6
Lattice="3.375 0.000 0.000 -1.687 2.910 0.000 0.000 0.000 12.388" Properties=species:S:1:pos:R:3 pbc="T T T"
Se 1.687 0.968 1.455
Mn 0.000 0.000 0.000
Se 1.687 1.942 7.649
Se 0.000 0.968 4.739
Mn 1.687 0.000 6.194
Se 0.000 1.942 10.933
```

Summary:
ΔE_f (raw) (eV per atom): -0.42
Crystal system: orthorhombic
Calculated total energy (eV per atom): -6.24

No. 20
This record from the Alexandria database describes a relaxed Mn4Se crystal. The functional is PBEsol.

extended XYZ file:
```
5
Lattice="4.644 0.000 0.000 -1.548 4.378 0.000 -1.548 -2.189 3.791" Properties=species:S:1:pos:R:3 pbc="T T T"
Mn 2.322 0.000 0.000
Mn 0.774 1.095 1.896
Se 0.000 0.000 0.000
Mn -0.774 2.189 0.000
Mn -0.774 -1.095 1.896
```

Summary:
ΔE_f (raw) (eV per atom): 0.87
Crystal system: cubic
Calculated total energy (eV per atom): -7.71